Version A
First-principles (PBE) data for crystalline TaCoSb2I at its relaxed geometry, as listed in Alexandria.

a b c (Å): 5.377 5.377 5.526
angles (deg): 90.00 90.00 90.00
Element x y z (fractional)
I  0.000  0.000  0.500
Sb  0.000  0.500  0.000
Sb  0.500  0.000  0.000
Co  0.500  0.500  0.500
Ta  0.000  0.000  0.000

## Properties
Space-group type: P4/mmm (123)
M_tot: 2.6 Bohr magnetons per cell

---

Version B
First-principles (PBE) data for crystalline TaCoSb2I at its relaxed geometry, as listed in Alexandria.

a b c (Å): 4.855 4.855 5.081
angles (deg): 90.00 90.00 90.00
Element x y z (fractional)
I  0.000  0.000  0.500
Sb  0.000  0.500  0.000
Sb  0.500  0.000  0.000
Co  0.000  0.000  0.000
Ta  0.500  0.500  0.500

## Properties
Space-group type: P4/mmm (123)
M_tot: 0.0 Bohr magnetons per cell

---

Result of the stability comparison: version B is the most stable of them.